Crystalline Mg5Cd2Hg5 at its relaxed geometry. Source: Alexandria via LeMat-Bulk, functional PBE.

a b c (Å): 7.7711 7.7711 12.2073
angles (deg): 125.73 125.73 26.67
Element x y z (fractional)
Mg 0.0000 0.0000 0.0000
Mg 0.0911 0.0911 0.7413
Mg 0.1710 0.1710 0.5196
Mg 0.8290 0.8290 0.4804
Mg 0.9089 0.9089 0.2587
Cd 0.3379 0.3379 0.0116
Cd 0.6621 0.6621 0.9884
Hg 0.2367 0.2367 0.2372
Hg 0.4229 0.4229 0.7289
Hg 0.5000 0.5000 0.5000
Hg 0.5771 0.5771 0.2711
Hg 0.7633 0.7633 0.7628

Summary:
As for the volume: 22.06 Å³/atom. The crystal system is monoclinic. The calculation puts the calculated total energy at -1.083 eV/atom.

Crystalline Sr2AgPtAu6 at its relaxed geometry. Source: Alexandria via LeMat-Bulk, functional PBE.

a b c (Å): 7.2931 7.2931 7.2931
angles (deg): 60.00 60.00 60.00
Element x y z (fractional)
Sr 0.2500 0.2500 0.2500
Sr 0.7500 0.7500 0.7500
Ag 0.0000 0.0000 0.0000
Pt 0.5000 0.5000 0.5000
Au 0.2509 0.2509 0.7491
Au 0.2509 0.7491 0.2509
Au 0.2509 0.7491 0.7491
Au 0.7491 0.2509 0.2509
Au 0.7491 0.2509 0.7491
Au 0.7491 0.7491 0.2509

Summary:
As for the volume: 27.43 Å³/atom. The crystal system is cubic. The calculation puts the calculated total energy at -3.353 eV/atom.

Crystalline TbPm4Sm10 at its relaxed geometry. Source: Alexandria via LeMat-Bulk, functional PBE.

a b c (Å): 9.0422 9.0422 9.0422
angles (deg): 113.90 113.90 100.93
Element x y z (fractional)
Tb 0.0000 0.0000 0.0000
Pm 0.1854 0.5639 0.7493
Pm 0.4360 0.1854 0.6214
Pm 0.5639 0.8146 0.3786
Pm 0.8146 0.4360 0.2507
Sm 0.0430 0.9356 0.6526
Sm 0.0644 0.7170 0.1074
Sm 0.2500 0.7500 0.5000
Sm 0.2830 0.3905 0.3474
Sm 0.3905 0.0430 0.1074
Sm 0.6095 0.9570 0.8926
Sm 0.7170 0.6095 0.6526
Sm 0.7500 0.2500 0.5000
Sm 0.9356 0.2830 0.8926
Sm 0.9570 0.0644 0.3474

Summary:
As for the volume: 37.32 Å³/atom. The crystal system is tetragonal. The calculation puts the calculated total energy at -4.317 eV/atom.

no.,size of the total moment (μB/cell),density (Mg/m³)
1,0.00,8.47
2,0.00,10.05
3,0.00,6.65